The following is a PBE-GGA calculation of a relaxed K2TeAuI6 crystal, from Alexandria.

a b c (Å): 8.618 8.271 14.116
angles (deg): 90.00 120.88 90.00
Atoms (fractional coordinates):
K  0.207  0.063  0.231
K  0.207  0.437  0.731
K  0.793  0.563  0.269
K  0.793  0.937  0.769
Te  0.500  0.000  0.000
Te  0.500  0.500  0.500
Au  0.000  0.000  0.500
Au  0.000  0.500  0.000
I  0.130  0.239  0.952
I  0.130  0.261  0.452
I  0.258  0.714  0.957
I  0.258  0.786  0.457
I  0.367  0.024  0.761
I  0.367  0.476  0.261
I  0.633  0.524  0.739
I  0.633  0.976  0.239
I  0.742  0.214  0.543
I  0.742  0.286  0.043
I  0.870  0.739  0.548
I  0.870  0.761  0.048

The density of states at the Fermi level is 10.00 states/eV/cell. Its uncorrected formation energy is -0.606 eV per atom. The mass density is 4.48 g cm⁻³.